1.
VASP calculation (PBE-GGA) on a relaxed TbNiC crystal.

The value obtained for the calculated volume is 15.4 A^3/atom.

The space group is Cmmm (No. 65) and the conventional cell measures 4.5035, 11.8936 and 3.4539 Å, with angles of 90.00, 90.00 and 90.00 degrees. Symmetry generates all atoms from Tb at (0.0000, 0.1504, 0.0000), Ni at (0.0000, 0.3992, 0.5000) and C at (0.1530, 0.0000, 0.5000).

2.
VASP calculation (PBE-GGA) on a relaxed CsPt2Cl crystal.

The value obtained for the calculated volume is 22.8 A^3/atom.

The space group is Fm-3m (No. 225) and the conventional cell measures 7.1504, 7.1504 and 7.1504 Å, with angles of 90.00, 90.00 and 90.00 degrees. Symmetry generates all atoms from Cs at (0.0000, 0.0000, 0.0000), Pt at (0.2500, 0.2500, 0.2500) and Cl at (0.0000, 0.0000, 0.5000).

3.
VASP calculation (PBE-GGA) on a relaxed Dy3MgOs crystal.

The value obtained for the calculated volume is 31.4 A^3/atom.

The space group is Pm-3m (No. 221) and the conventional cell measures 5.3930, 5.3930 and 5.3930 Å, with angles of 90.00, 90.00 and 90.00 degrees. Symmetry generates all atoms from Dy at (0.0000, 0.0000, 0.5000), Mg at (0.5000, 0.5000, 0.5000) and Os at (0.0000, 0.0000, 0.0000).

4.
VASP calculation (PBE-GGA) on a relaxed Sr2AcHg2Pb2 crystal.

The value obtained for the calculated volume is 33.3 A^3/atom.

The space group is R-3m (No. 166, hexagonal axes) and the conventional cell measures 5.2734, 5.2734 and 29.0189 Å, with angles of 90.00, 90.00 and 120.00 degrees. Symmetry generates all atoms from Sr at (0.0000, 0.0000, 0.1339), Ac at (0.0000, 0.0000, 0.0000), Hg at (0.0000, 0.0000, 0.4336) and Pb at (0.0000, 0.0000, 0.2674).

Calculated total energy, record by record: -6.7154, -2.7513, -5.3290, -2.5795 eV/atom
D(E_F), record by record: 5.7, 9.7, 2.4, 10.0 states/eV/cell